Here is HoPuBr5 after structural relaxation from the Alexandria database. Energies are from PBE-GGA.

Density = 5.71 g/cm³
Raw formation energy = -1666 meV/atom
Magnetic moment = 12.0 μB/cell

Cell lengths 4.0560, 8.4639, 13.7367 Å; angles 94.61, 90.00, 90.00 degrees
Each line ends with the local moment (μB).
Fractional coordinates of all 14 atoms:
Ho 0.2500 0.4176 0.3460  0.14
Ho 0.7500 0.5824 0.6540  0.14
Pu 0.7500 0.0911 0.1424  5.59
Pu 0.2500 0.9089 0.8576  5.59
Br 0.2500 0.0774 0.3087  -0.03
Br 0.7500 0.1519 0.9290  -0.04
Br 0.7500 0.3228 0.4798  0.00
Br 0.2500 0.3561 0.1366  -0.03
Br 0.2500 0.3720 0.7030  0.00
Br 0.7500 0.6280 0.2970  0.00
Br 0.7500 0.6439 0.8634  -0.03
Br 0.2500 0.6772 0.5202  0.00
Br 0.2500 0.8481 0.0710  -0.04
Br 0.7500 0.9226 0.6913  -0.03

---

Here is HoPuBr2 after structural relaxation from the Alexandria database. Energies are from PBE-GGA.

Density = 7.86 g/cm³
Raw formation energy = -853 meV/atom
Magnetic moment = 6.5 μB/cell

Cell lengths 3.7173, 3.7173, 10.2699 Å; angles 79.57, 79.57, 60.00 degrees
Each line ends with the local moment (μB).
Fractional coordinates of all 4 atoms:
Ho 0.0000 0.0000 0.0000  0.06
Br 0.0947 0.0947 0.7160  -0.02
Br 0.9053 0.9053 0.2840  -0.02
Pu 0.5000 0.5000 0.5000  5.85

---

Here is HoPuBr6 after structural relaxation from the Alexandria database. Energies are from PBE-GGA.

Density = 4.69 g/cm³
Polymorph energy (0 for the lowest one) = 0.0 meV/atom
Raw formation energy = -1658 meV/atom
Magnetic moment = 5.0 μB/cell

Cell lengths 7.4843, 7.4843, 7.0520 Å; angles 97.87, 97.87, 123.62 degrees
Each line ends with the local moment (μB).
Fractional coordinates of all 8 atoms:
Ho 0.5000 0.5000 0.5000  0.01
Pu 0.0000 0.0000 0.0000  5.07
Br 0.5961 0.8866 0.7443  -0.03
Br 0.8866 0.5961 0.7443  -0.03
Br 0.1134 0.4039 0.2557  -0.03
Br 0.4039 0.1134 0.2557  -0.03
Br 0.2517 0.2517 0.7446  -0.02
Br 0.7483 0.7483 0.2554  -0.02

---

Here is Rb3Ho2Br9 after structural relaxation from the Alexandria database. Energies are from PBE-GGA.

Density = 4.08 g/cm³
Raw formation energy = -1842 meV/atom
Magnetic moment = 0.0 μB/cell

Cell lengths 10.2701, 10.2701, 10.2701 Å; angles 83.40, 83.40, 83.40 degrees
Fractional coordinates of all 28 atoms:
Rb 0.4187 0.7500 0.0813
Rb 0.2500 0.9187 0.5813
Rb 0.9187 0.5813 0.2500
Rb 0.0813 0.4187 0.7500
Rb 0.7500 0.0813 0.4187
Rb 0.5813 0.2500 0.9187
Ho 0.1513 0.1513 0.1513
Ho 0.6513 0.6513 0.6513
Ho 0.8487 0.8487 0.8487
Ho 0.3487 0.3487 0.3487
Br 0.7306 0.9207 0.0823
Br 0.0793 0.9177 0.2694
Br 0.2500 0.4073 0.0927
Br 0.5793 0.7694 0.4177
Br 0.5927 0.9073 0.7500
Br 0.9073 0.7500 0.5927
Br 0.2306 0.5823 0.4207
Br 0.5823 0.4207 0.2306
Br 0.9177 0.2694 0.0793
Br 0.0823 0.7306 0.9207
Br 0.4177 0.5793 0.7694
Br 0.4073 0.0927 0.2500
Br 0.7694 0.4177 0.5793
Br 0.0927 0.2500 0.4073
Br 0.4207 0.2306 0.5823
Br 0.7500 0.5927 0.9073
Br 0.9207 0.0823 0.7306
Br 0.2694 0.0793 0.9177